Ac2Sb4Ir3Pt, relaxed, DFT PBE; formation energy from raw total energies = -0.710 eV per atom; E = -6.4434 eV/atom; Fermi-level density of states = 7.62 states/eV per cell; space group = P-4m2 (115)
1.0
4.725 0.000 0.000
0.000 4.725 0.000
0.000 0.000 10.410
Ac Sb Ir Pt
2 4 3 1
Cartesian
0.000 2.363 2.546
2.363 0.000 7.864
0.000 0.000 5.205
0.000 2.363 9.061
2.363 0.000 1.349
2.363 2.363 5.205
0.000 0.000 0.000
0.000 2.363 6.433
2.363 0.000 3.977
2.363 2.363 0.000